Record 1
{
  "formula": "PuInGaSb",
  "functional": "PBE",
  "state": "optimized geometry",
  "lattice": [[4.3898, 0.0000, 0.0000], [0.0000, 4.5768, 0.0000], [0.0000, 0.0000, 4.7261]],
  "species": ["In", "Pu", "Sb", "Ga"],
  "frac_coords": [[0.0000, 0.0000, 0.0000], [0.0000, 0.5000, 0.5000], [0.5000, 0.0000, 0.5000], [0.5000, 0.5000, 0.0000]],
  "raw_formation_energy_mev_per_atom": -371
}

Record 2
{
  "formula": "LiP2SBr",
  "functional": "PBE",
  "state": "optimized geometry",
  "lattice": [[-2.6986, 0.1678, -3.8607], [-2.9005, -3.1996, 1.8884], [-2.2703, 3.0736, 1.7205]],
  "species": ["S", "Li", "Br", "P", "P"],
  "frac_coords": [[0.0000, 0.0000, 0.5000], [0.0000, 0.0000, 0.0000], [0.5000, 0.5000, 0.5000], [0.0000, 0.5000, 0.0000], [0.5000, 0.0000, 0.0000]],
  "raw_formation_energy_mev_per_atom": 853,
  "polymorph_energy_mev_per_atom": 0
}

Record 3
{
  "formula": "Mg5In5Ag",
  "functional": "PBE",
  "state": "optimized geometry",
  "lattice": [[-1.7826, 2.5169, -4.3642], [-6.6881, -5.7486, 2.6885], [-0.9451, 5.0034, 3.2716]],
  "species": ["Mg", "Mg", "Mg", "Mg", "Mg", "In", "In", "In", "In", "In", "Ag"],
  "frac_coords": [[0.3129, 0.6257, 0.8791], [0.6041, 0.2081, 0.5621], [0.6871, 0.3743, 0.1209], [0.0000, 0.0000, 0.5000], [0.3959, 0.7919, 0.4379], [0.1824, 0.3647, 0.4022], [0.8176, 0.6353, 0.5978], [0.8554, 0.7108, 0.1264], [0.1446, 0.2892, 0.8736], [0.5000, 0.0000, 0.0000], [0.0000, 0.0000, 0.0000]],
  "formation_energy_ev_per_atom": 0.0344
}

Record 4
{
  "formula": "Na3AcHg3",
  "functional": "PBE",
  "state": "optimized geometry",
  "lattice": [[-1.9991, 6.3498, 4.4159], [-3.3997, -4.8182, 5.3892], [6.9471, -0.5307, 3.9080]],
  "species": ["Na", "Na", "Na", "Na", "Na", "Na", "Ac", "Ac", "Hg", "Hg", "Hg", "Hg", "Hg", "Hg"],
  "frac_coords": [[0.0000, 0.5000, 0.2500], [0.5000, 0.7500, 0.0000], [0.7500, 0.0000, 0.5000], [0.5000, 0.2500, 0.0000], [0.2500, 0.0000, 0.5000], [0.0000, 0.5000, 0.7500], [0.0000, 0.0000, 0.0000], [0.5000, 0.5000, 0.5000], [0.2500, 0.5000, 0.0000], [0.0000, 0.7500, 0.5000], [0.5000, 0.0000, 0.7500], [0.7500, 0.5000, 0.0000], [0.0000, 0.2500, 0.5000], [0.5000, 0.0000, 0.2500]],
  "formation_energy_ev_per_atom": 0.1632
}

Record 5
{
  "formula": "Ce3Tm2ScSe6",
  "functional": "PBE",
  "state": "optimized geometry",
  "lattice": [[6.9957, -0.0041, -0.0013], [-3.4997, 6.0574, -0.0013], [-1.1674, -2.0213, 6.8425]],
  "species": ["Se", "Se", "Se", "Se", "Se", "Se", "Sc", "Ce", "Ce", "Ce", "Tm", "Tm"],
  "frac_coords": [[0.2503, 0.2503, 0.7689], [0.5965, 0.9242, 0.7716], [0.4035, 0.0758, 0.2284], [0.9242, 0.5965, 0.7716], [0.0758, 0.4035, 0.2284], [0.7497, 0.7497, 0.2311], [0.0000, 0.0000, 0.0000], [0.8310, 0.1690, 0.5000], [0.1690, 0.8310, 0.5000], [0.5000, 0.5000, 0.5000], [0.3339, 0.6661, 0.0000], [0.6661, 0.3339, 0.0000]],
  "raw_formation_energy_mev_per_atom": -1739
}

Record 6
{
  "formula": "La12Cd3Co5",
  "functional": "PBE",
  "state": "optimized geometry",
  "lattice": [[-13.4264, 1.5388, 6.4042], [-1.2980, -8.3107, -12.3652], [9.3425, -6.7095, 9.5578]],
  "species": ["La", "La", "La", "La", "La", "La", "La", "La", "La", "La", "La", "La", "La", "La", "La", "La", "La", "La", "La", "La", "La", "La", "La", "La", "La", "La", "La", "La", "La", "La", "La", "La", "La", "La", "La", "La", "La", "La", "La", "La", "La", "La", "La", "La", "La", "La", "La", "La", "Co", "Co", "Co", "Co", "Co", "Co", "Co", "Co", "Co", "Co", "Co", "Co", "Co", "Co", "Co", "Co", "Co", "Co", "Co", "Co", "Cd", "Cd", "Cd", "Cd", "Cd", "Cd", "Cd", "Cd", "Cd", "Cd", "Cd", "Cd"],
  "frac_coords": [[0.1174, 0.4147, 0.0949], [0.7026, 0.1174, 0.0225], [0.3199, 0.7974, 0.4147], [0.7974, 0.3199, 0.9147], [0.2026, 0.6801, 0.0853], [0.2974, 0.4147, 0.8199], [0.4147, 0.1174, 0.5949], [0.6174, 0.0225, 0.2026], [0.4147, 0.2974, 0.3199], [0.7026, 0.5853, 0.1801], [0.0853, 0.1801, 0.2026], [0.8199, 0.9051, 0.0225], [0.6801, 0.4775, 0.5949], [0.3826, 0.4051, 0.0853], [0.9147, 0.8199, 0.7974], [0.1174, 0.7026, 0.5225], [0.3826, 0.9775, 0.7974], [0.6801, 0.2026, 0.5853], [0.5225, 0.3199, 0.9051], [0.6174, 0.5949, 0.9147], [0.7974, 0.4775, 0.3826], [0.5225, 0.2026, 0.1174], [0.8826, 0.5853, 0.9051], [0.5853, 0.8826, 0.4051], [0.8826, 0.2974, 0.4775], [0.4775, 0.7974, 0.8826], [0.4051, 0.3826, 0.5853], [0.5853, 0.7026, 0.6801], [0.4775, 0.6801, 0.0949], [0.9051, 0.0853, 0.8826], [0.0225, 0.6174, 0.7026], [0.0225, 0.4051, 0.8199], [0.1801, 0.0853, 0.7026], [0.5949, 0.6174, 0.4147], [0.3199, 0.5225, 0.4051], [0.2974, 0.8826, 0.9775], [0.0949, 0.9147, 0.1174], [0.0949, 0.1801, 0.4775], [0.1801, 0.0949, 0.9775], [0.9051, 0.8199, 0.5225], [0.0853, 0.9051, 0.3826], [0.5949, 0.9775, 0.6801], [0.9775, 0.5949, 0.1801], [0.4051, 0.0225, 0.3199], [0.8199, 0.9147, 0.2974], [0.9775, 0.3826, 0.2974], [0.9147, 0.0949, 0.6174], [0.2026, 0.5225, 0.6174], [0.5000, 0.5000, 0.5000], [0.5000, 0.0000, 0.5000], [0.0000, 0.5000, 0.0000], [0.1250, 0.3750, 0.2500], [0.8750, 0.6250, 0.7500], [0.2500, 0.3750, 0.6250], [0.7500, 0.1250, 0.8750], [0.7500, 0.6250, 0.3750], [0.5000, 0.0000, 0.0000], [0.6250, 0.7500, 0.8750], [0.1250, 0.7500, 0.3750], [0.2500, 0.8750, 0.1250], [0.8750, 0.2500, 0.6250], [0.3750, 0.1250, 0.7500], [0.5000, 0.5000, 0.0000], [0.0000, 0.0000, 0.5000], [0.3750, 0.2500, 0.1250], [0.6250, 0.8750, 0.2500], [0.0000, 0.0000, 0.0000], [0.0000, 0.5000, 0.5000], [0.6250, 0.2500, 0.3750], [0.1250, 0.8750, 0.7500], [0.3750, 0.7500, 0.6250], [0.3750, 0.6250, 0.2500], [0.2500, 0.6250, 0.8750], [0.7500, 0.3750, 0.1250], [0.2500, 0.1250, 0.3750], [0.8750, 0.1250, 0.2500], [0.1250, 0.2500, 0.8750], [0.6250, 0.3750, 0.7500], [0.7500, 0.8750, 0.6250], [0.8750, 0.7500, 0.1250]],
  "formation_energy_ev_per_atom": 0.0151
}

Calculated volume (A^3/atom)
23.738; 18.620; 25.084; 36.414; 24.152; 32.184
Size of the total moment (μB/atom)
1.363; 0.000; 0.000; 0.000; 0.252; 0.000
Density of states at the Fermi level (states/eV/cell)
9.3; 4.9; 3.2; 12.2; 18.8; 81.7